DFT (PBE) results for a relaxed ThTc7N12 crystal.

Computed properties:
As for the space-group type: Im-3. The calculation puts the calculated volume at 223.8 Å³/f.u. Its crystal system is cubic. As for the formation energy from raw total energies: 254 meV per atom.

The structure in POSCAR format:
```
ThTc7N12
1.0
6.624 0.000 0.000
-2.208 6.245 0.000
-2.208 -3.123 5.409
Tc N Th
7 12 1
Direct
0.500 0.000 0.500
0.000 0.500 0.000
0.500 0.500 0.500
0.000 0.000 0.500
0.000 0.500 0.500
0.500 0.500 0.000
0.500 0.000 0.000
0.694 0.180 0.875
0.306 0.820 0.125
0.820 0.514 0.694
0.125 0.306 0.820
0.180 0.486 0.306
0.694 0.820 0.514
0.486 0.306 0.180
0.514 0.694 0.820
0.306 0.180 0.486
0.820 0.125 0.306
0.180 0.875 0.694
0.875 0.694 0.180
0.000 0.000 0.000
```